(1)
VASP calculation (PBE) on a relaxed LiGaPb crystal.

* energy of formation: -0.170 eV per atom
* calculated density: 7.3 g cm⁻³

Unit cell a=4.872 b=4.852 c=10.893 alpha=90.00 beta=91.22 gamma=90.00
Space group C2/m (No. 12)
Symmetry-distinct sites (fractional):
Li: 0.245 0.000 0.302 [4 per cell]
Ga: 0.248 0.500 0.435 [4 per cell]
Pb: 0.241 0.500 0.126 [4 per cell]

***

(2)
VASP calculation (PBE) on a relaxed LiGaPb crystal.

* energy of formation: -0.106 eV per atom
* calculated density: 6.6 g cm⁻³

Unit cell a=4.6447 b=4.6447 c=7.6657 alpha=90.00 beta=90.00 gamma=120.00
Space group P6_3mc (No. 186)
Symmetry-distinct sites (fractional):
Li: 0.0000 0.0000 0.0000 [2 per cell]
Ga: 0.3333 0.6667 0.3631 [2 per cell]
Pb: 0.3333 0.6667 0.7404 [2 per cell]

***

(3)
VASP calculation (PBE) on a relaxed Li2GaPb crystal.

* energy of formation: -0.136 eV per atom
* calculated density: 5.8 g cm⁻³

Unit cell a=3.2589 b=3.2589 c=27.3788 alpha=90.00 beta=90.00 gamma=120.00
Space group R3m (No. 160, hexagonal axes)
Symmetry-distinct sites (fractional):
Li: 0.0000 0.0000 0.0000 [3 per cell]
Li: 0.0000 0.0000 0.1779 [3 per cell]
Ga: 0.0000 0.0000 0.5888 [3 per cell]
Pb: 0.0000 0.0000 0.4227 [3 per cell]

***

(4)
VASP calculation (PBE) on a relaxed LiGaPb crystal.

* energy of formation: -0.050 eV per atom
* calculated density: 6.8 g cm⁻³

Unit cell a=5.670 b=10.265 c=4.743 alpha=90.00 beta=90.00 gamma=90.00
Space group Cmme (No. 67)
Symmetry-distinct sites (fractional):
Li: 0.250 0.000 0.000 [4 per cell]
Ga: 0.000 0.000 0.500 [4 per cell]
Pb: 0.000 0.250 0.171 [4 per cell]

***

(5)
VASP calculation (PBE) on a relaxed LiGaPb crystal.

* energy of formation: -0.131 eV per atom
* calculated density: 7.0 g cm⁻³

Unit cell a=4.171 b=5.582 c=6.669 alpha=69.89 beta=89.88 gamma=68.34
Space group P-1 (No. 2)
Symmetry-distinct sites (fractional):
Li: 0.174 0.152 0.324 [2 per cell]
Ga: 0.177 0.141 0.850 [2 per cell]
Pb: 0.500 0.500 0.000 [1 per cell]
Pb: 0.500 0.500 0.500 [1 per cell]

***

(6)
VASP calculation (PBE) on a relaxed LiGaPb crystal.

* energy of formation: -0.134 eV per atom
* calculated density: 7.1 g cm⁻³

Unit cell a=3.179 b=5.422 c=7.658 alpha=90.00 beta=90.00 gamma=90.00
Space group P2_1/m (No. 11)
Symmetry-distinct sites (fractional):
Li: 0.000 0.250 0.238 [2 per cell]
Ga: 0.500 0.000 0.500 [2 per cell]
Pb: 0.499 0.250 0.864 [2 per cell]

***

(7)
VASP calculation (PBE) on a relaxed LiGaPb crystal.

* energy of formation: -0.106 eV per atom
* calculated density: 6.9 g cm⁻³

Unit cell a=8.165 b=8.352 c=4.975 alpha=90.00 beta=125.82 gamma=90.00
Space group Cc (No. 9)
Symmetry-distinct sites (fractional):
Li: 0.000 0.093 0.000 [4 per cell]
Ga: 0.006 0.422 0.007 [4 per cell]
Pb: 0.253 0.248 0.753 [4 per cell]

***

(8)
VASP calculation (PBE) on a relaxed LiGaPb crystal.

* energy of formation: -0.035 eV per atom
* calculated density: 6.2 g cm⁻³

Unit cell a=4.532 b=14.929 c=6.693 alpha=90.00 beta=90.00 gamma=90.00
Space group Imm2 (No. 44)
Symmetry-distinct sites (fractional):
Li: 0.000 0.000 0.000 [2 per cell]
Li: 0.000 0.329 0.439 [4 per cell]
Ga: 0.000 0.000 0.452 [2 per cell]
Ga: 0.000 0.332 0.979 [4 per cell]
Pb: 0.000 0.165 0.214 [4 per cell]
Pb: 0.000 0.500 0.218 [2 per cell]

***

(9)
VASP calculation (PBE) on a relaxed LiGaPb crystal.

* energy of formation: -0.148 eV per atom
* calculated density: 7.3 g cm⁻³

Unit cell a=10.235 b=4.545 c=5.568 alpha=90.00 beta=90.27 gamma=90.00
Space group C2/m (No. 12)
Symmetry-distinct sites (fractional):
Li: 0.084 0.000 0.253 [4 per cell]
Ga: 0.000 0.500 0.000 [2 per cell]
Ga: 0.000 0.500 0.500 [2 per cell]
Pb: 0.207 0.000 0.754 [4 per cell]

***

(10)
VASP calculation (PBE) on a relaxed LiGaPb crystal.

* energy of formation: 0.047 eV per atom
* calculated density: 5.9 g cm⁻³

Unit cell a=11.483 b=11.483 c=4.880 alpha=90.00 beta=90.00 gamma=90.00
Space group I4/mmm (No. 139)
Symmetry-distinct sites (fractional):
Li: 0.000 0.195 0.000 [8 per cell]
Ga: 0.116 0.116 0.500 [8 per cell]
Pb: 0.000 0.351 0.500 [8 per cell]

***

(11)
VASP calculation (PBE) on a relaxed Li3GaPb crystal.

* energy of formation: -0.220 eV per atom
* calculated density: 5.1 g cm⁻³
* ΔE to the lowest computed polymorph: 0.0686 eV/atom

Unit cell a=5.008 b=5.895 c=6.921 alpha=90.00 beta=109.46 gamma=90.00
Space group P2_1/m (No. 11)
Symmetry-distinct sites (fractional):
Li: 0.089 0.250 0.475 [2 per cell]
Li: 0.208 0.004 0.902 [4 per cell]
Ga: 0.474 0.250 0.266 [2 per cell]
Pb: 0.323 0.750 0.297 [2 per cell]

***

(12)
VASP calculation (PBE) on a relaxed LiGaPb crystal.

* energy of formation: -0.133 eV per atom
* calculated density: 7.1 g cm⁻³

Unit cell a=4.874 b=4.903 c=6.377 alpha=89.17 beta=89.29 gamma=60.54
Space group P1 (No. 1)
Symmetry-distinct sites (fractional):
Li: 0.000 0.000 0.000 [1 per cell]
Li: 0.336 0.332 0.672 [1 per cell]
Ga: 0.336 0.334 0.156 [1 per cell]
Ga: 0.672 0.667 0.287 [1 per cell]
Pb: 0.004 0.000 0.488 [1 per cell]
Pb: 0.668 0.665 0.814 [1 per cell]

***

Repeat the seventh record exactly.
VASP calculation (PBE) on a relaxed LiGaPb crystal.

* energy of formation: -0.106 eV per atom
* calculated density: 6.9 g cm⁻³

Unit cell a=8.165 b=8.352 c=4.975 alpha=90.00 beta=125.82 gamma=90.00
Space group Cc (No. 9)
Symmetry-distinct sites (fractional):
Li: 0.000 0.093 0.000 [4 per cell]
Ga: 0.006 0.422 0.007 [4 per cell]
Pb: 0.253 0.248 0.753 [4 per cell]

***

> Number 1 is which compound?

LiGaPb

***

> Among the records above, which one has the lowest energy of formation?

Li3GaPb

***

> Which of these has the highest energy of formation?

number 10